The following is a DFT calculation (GGA-PBEsol) of a geometry-optimized CaYNi2 structure.

a b c (Å): 3.8948 3.9427 5.5551
angles (deg): 90.00 110.46 90.00
Last column: nearest neighbours and their distance in Å.
Atoms (fractional coordinates):
Y1 0.5115 0.0000 0.3978  6 Ni 2.80-2.87
Ca1 0.2298 0.5000 0.8340  7 Ni 2.92-2.99
Ni1 0.9416 0.5000 0.2587  2 Ni 2.36
Ni2 0.8171 0.0000 0.0095  2 Ni 2.36

Output
Density of states at the Fermi level = 2.61 states/eV/f.u.
Symmetry = Amm2, No. 38
ΔH_f (0 K) = -241 meV per atom